The following is a DFT calculation (PBE-GGA) of a geometry-optimized Rb3CaCd2Cl9 structure.

```
15
Lattice="-7.420 -1.114 0.588 3.630 -2.062 -6.262 1.543 -8.356 3.646" Properties=species:S:1:pos:R:3 pbc="T T T"
Rb 0.987 -7.379 -1.521
Rb 0.000 0.000 0.000
Rb -3.234 -4.152 -0.508
Ca 0.771 -4.178 1.823
Cd 0.202 -3.126 -3.377
Cd -2.449 -8.405 1.348
Cl -4.523 -6.876 1.877
Cl -2.728 -7.895 -1.217
Cl -0.855 -6.326 1.587
Cl -1.392 -5.205 -3.616
Cl 0.481 -3.636 -0.811
Cl 2.276 -4.655 -3.906
Cl -3.710 -0.557 0.294
Cl 1.815 -1.031 -3.131
Cl -1.895 -1.588 -2.837
```

Symmetry = P-3m1
DOS(E_F) = 0.00 states/eV/atom
Density = 3.08 g/cm3
Total magnetic moment = 0.0 μB/cell
ΔE_f (raw) = -1.705 eV per atom

***

The following is a DFT calculation (PBE-GGA) of a geometry-optimized Rb2CaCdCl6 structure.

```
10
Lattice="5.363 0.000 0.000 0.000 5.363 0.000 0.000 0.000 10.666" Properties=species:S:1:pos:R:3 pbc="T T T"
Rb 0.000 0.000 7.895
Rb 0.000 0.000 2.771
Ca 2.682 2.682 0.000
Cd 2.682 2.682 5.333
Cl 2.682 0.000 0.000
Cl 2.682 0.000 5.333
Cl 0.000 2.682 0.000
Cl 0.000 2.682 5.333
Cl 2.682 2.682 7.934
Cl 2.682 2.682 2.732
```

Symmetry = P4/mmm
DOS(E_F) = 0.00 states/eV/atom
Density = 2.90 g/cm3
Total magnetic moment = 0.0 μB/cell
ΔE_f (raw) = -1.839 eV per atom

***

The following is a DFT calculation (PBE-GGA) of a geometry-optimized Rb4CaCd3Cl12 structure.

```
20
Lattice="-3.653 7.207 -4.406 -3.271 -0.320 8.596 9.159 0.867 0.233" Properties=species:S:1:pos:R:3 pbc="T T T"
Rb 1.118 3.877 2.212
Rb 4.580 0.434 0.116
Rb -1.826 3.604 -2.203
Rb -1.635 -0.160 4.298
Ca 0.000 0.000 0.000
Cd 2.753 4.037 -2.086
Cd -3.462 3.444 2.095
Cd 2.944 0.274 4.415
Cl 4.321 2.292 3.372
Cl 4.108 6.025 -3.113
Cl 1.398 2.050 -1.059
Cl -2.085 5.462 1.052
Cl -5.166 5.139 3.127
Cl -1.758 1.748 1.064
Cl 1.022 5.759 -1.039
Cl 1.213 1.995 5.462
Cl 4.225 4.174 0.121
Cl 4.394 0.408 6.588
Cl -1.990 3.580 4.303
Cl 1.495 0.139 2.242
```

Symmetry = Im-3m
DOS(E_F) = 0.00 states/eV/atom
Density = 3.17 g/cm3
Total magnetic moment = 0.0 μB/cell
ΔE_f (raw) = -1.639 eV per atom

***

The following is a DFT calculation (PBE-GGA) of a geometry-optimized Rb2CaCdCl6 structure.

```
10
Lattice="7.569 0.000 0.000 0.000 7.569 0.000 3.785 3.785 5.352" Properties=species:S:1:pos:R:3 pbc="T T T"
Ca 3.785 3.785 0.000
Cl 3.785 3.785 2.710
Cl 7.569 7.569 2.642
Cl 1.868 1.868 0.000
Cl 5.701 5.701 0.000
Cl 5.701 1.868 0.000
Cl 1.868 5.701 0.000
Rb 7.569 3.785 2.676
Rb 3.785 7.569 2.676
Cd 0.000 0.000 0.000
```

Symmetry = Fm-3m
DOS(E_F) = 0.00 states/eV/atom
Density = 2.90 g/cm3
Total magnetic moment = 0.0 μB/cell
ΔE_f (raw) = -1.838 eV per atom